# 1
CaAlHg3 | meta-GGA SCAN | PBEsol geometry

The density of states at the Fermi level is 0.463 states/eV per atom. The calculation puts the formation energy at -226 meV/atom.

The structure belongs to space group Pm-3m (No. 221); the cell edges are 5.0857, 5.0857 and 5.0857 Å and the angles 90.00°, 90.00° and 90.00°. Symmetry generates all atoms from Ca at (0.0000, 0.0000, 0.0000), Al at (0.5000, 0.5000, 0.5000) and Hg at (0.0000, 0.5000, 0.5000).

# 2
CaAl2Hg2 | meta-GGA SCAN | PBEsol geometry

The density of states at the Fermi level is 0.363 states/eV per atom. The calculation puts the formation energy at -363 meV/atom.

The structure belongs to space group I4/mmm (No. 139); the cell edges are 4.5070, 4.5070 and 10.9406 Å and the angles 90.00°, 90.00° and 90.00°. Symmetry generates all atoms from Ca at (0.0000, 0.0000, 0.0000), Al at (0.0000, 0.0000, 0.3848) and Hg at (0.0000, 0.5000, 0.2500).

# 3
CaAl2SiHg | meta-GGA SCAN | PBEsol geometry

The density of states at the Fermi level is 0.634 states/eV per atom. For the raw formation energy, the calculation gives 1.4212 eV per atom.

The structure belongs to space group P4/mmm (No. 123); the cell edges are 5.4595, 5.4595 and 5.3511 Å and the angles 90.00°, 90.00° and 90.00°. Symmetry generates all atoms from Ca at (0.0000, 0.0000, 0.0000), Al at (0.0000, 0.5000, 0.0000), Si at (0.5000, 0.5000, 0.5000) and Hg at (0.0000, 0.0000, 0.5000).

# 4
Ca2Al2I | meta-GGA SCAN | PBEsol geometry

The density of states at the Fermi level is 0.375 states/eV per atom. For the raw formation energy, the calculation gives -0.0179 eV per atom.

The structure belongs to space group I4/mmm (No. 139); the cell edges are 6.0417, 6.0417 and 8.4783 Å and the angles 90.00°, 90.00° and 90.00°. Symmetry generates all atoms from Ca at (0.0000, 0.5000, 0.2500), Al at (0.0000, 0.0000, 0.1455) and I at (0.0000, 0.0000, 0.5000).

# 5
CaAlSb2I | meta-GGA SCAN | PBEsol geometry

The density of states at the Fermi level is 0.984 states/eV per atom. For the raw formation energy, the calculation gives 0.4827 eV per atom.

The structure belongs to space group P4/mmm (No. 123); the cell edges are 5.7304, 5.7304 and 5.7919 Å and the angles 90.00°, 90.00° and 90.00°. Symmetry generates all atoms from Ca at (0.0000, 0.0000, 0.0000), Al at (0.5000, 0.5000, 0.5000), Sb at (0.0000, 0.5000, 0.0000) and I at (0.0000, 0.0000, 0.5000).

# 6
CaAlTe2I | meta-GGA SCAN | PBEsol geometry

As for the energy above the most stable polymorph in this dataset: 502 meV per atom. The density of states at the Fermi level is 0.965 states/eV per atom. For the raw formation energy, the calculation gives -0.0612 eV per atom.

The structure belongs to space group P4/mmm (No. 123); the cell edges are 5.7577, 5.7577 and 5.9341 Å and the angles 90.00°, 90.00° and 90.00°. Symmetry generates all atoms from Ca at (0.0000, 0.0000, 0.0000), Al at (0.5000, 0.5000, 0.5000), Te at (0.0000, 0.5000, 0.0000) and I at (0.0000, 0.0000, 0.5000).

# 7
CaAlTe2I | meta-GGA SCAN | PBEsol geometry

As for the energy above the most stable polymorph in this dataset: 0 meV per atom. The density of states at the Fermi level is 0.279 states/eV per atom. For the raw formation energy, the calculation gives -0.5633 eV per atom.

The structure belongs to space group P4/mmm (No. 123); the cell edges are 5.3613, 5.3613 and 5.4872 Å and the angles 90.00°, 90.00° and 90.00°. Symmetry generates all atoms from Ca at (0.0000, 0.0000, 0.0000), Al at (0.5000, 0.5000, 0.5000), Te at (0.0000, 0.5000, 0.5000) and I at (0.5000, 0.5000, 0.0000).

# 8
Ca2Al2In | meta-GGA SCAN | PBEsol geometry

The density of states at the Fermi level is 0.398 states/eV per atom. The calculation puts the formation energy at 146 meV/atom.

The structure belongs to space group I4/mmm (No. 139); the cell edges are 4.6318, 4.6318 and 12.9130 Å and the angles 90.00°, 90.00° and 90.00°. Symmetry generates all atoms from Ca at (0.0000, 0.5000, 0.2500), Al at (0.0000, 0.0000, 0.0933) and In at (0.0000, 0.0000, 0.5000).

# 9
CaAl3In | meta-GGA SCAN | PBEsol geometry

The density of states at the Fermi level is 0.795 states/eV per atom. The calculation puts the formation energy at 1220 meV/atom.

The structure belongs to space group Pm-3m (No. 221); the cell edges are 5.5173, 5.5173 and 5.5173 Å and the angles 90.00°, 90.00° and 90.00°. Symmetry generates all atoms from Ca at (0.0000, 0.0000, 0.0000), Al at (0.0000, 0.0000, 0.5000) and In at (0.5000, 0.5000, 0.5000).

# 10
Ca3AlIn | meta-GGA SCAN | PBEsol geometry

The density of states at the Fermi level is 1.132 states/eV per atom. The calculation puts the formation energy at 224 meV/atom.

The structure belongs to space group Pm-3m (No. 221); the cell edges are 5.8264, 5.8264 and 5.8264 Å and the angles 90.00°, 90.00° and 90.00°. Symmetry generates all atoms from Ca at (0.0000, 0.0000, 0.5000), Al at (0.5000, 0.5000, 0.5000) and In at (0.0000, 0.0000, 0.0000).

# 11
CaAlInRe2 | meta-GGA SCAN | PBEsol geometry

The density of states at the Fermi level is 0.853 states/eV per atom. The calculation puts the formation energy at 1832 meV/atom.

The structure belongs to space group P4/mmm (No. 123); the cell edges are 4.9742, 4.9742 and 4.7620 Å and the angles 90.00°, 90.00° and 90.00°. Symmetry generates all atoms from Ca at (0.0000, 0.0000, 0.0000), Al at (0.5000, 0.5000, 0.0000), In at (0.5000, 0.5000, 0.5000) and Re at (0.0000, 0.5000, 0.5000).

# 12
Ca2AlIr | meta-GGA SCAN | PBEsol geometry

The density of states at the Fermi level is 0.578 states/eV per atom. The calculation puts the formation energy at -583 meV/atom.

The structure belongs to space group R3m (No. 160, hexagonal axes); the cell edges are 4.2222, 4.2222 and 21.5063 Å and the angles 90.00°, 90.00° and 120.00°. Symmetry generates all atoms from Ca at (0.0000, 0.0000, 0.0000), Ca at (0.0000, 0.0000, 0.1764), Al at (0.0000, 0.0000, 0.4213) and Ir at (0.0000, 0.0000, 0.7553).

| no. | V (Å³/cell) |
| --- | --- |
| 1 | 131.5 |
| 2 | 222.2 |
| 3 | 159.5 |
| 4 | 309.5 |
| 5 | 190.2 |
| 6 | 196.7 |
| 7 | 157.7 |
| 8 | 277.0 |
| 9 | 168.0 |
| 10 | 197.8 |
| 11 | 117.8 |
| 12 | 332.0 |